Entry 1:
First-principles (meta-GGA SCAN) data for Ba2BeHg at its PBEsol-relaxed geometry, as listed in Alexandria via LeMat-Bulk.

Values from the calculation:
Crystal system: tetragonal
ΔH_f (0 K), eV/atom: 0.129
Symmetry: P4mm
Total magnetization, μB per cell: 0.0
ΔE to the lowest computed polymorph, meV per atom: 162

```
Ba2BeHg
1.0
3.756 0.000 0.000
0.000 3.756 0.000
0.000 0.000 9.313
Ba Be Hg
2 1 1
Cartesian
0.000 0.000 0.000
1.878 1.878 3.844
0.000 0.000 6.015
1.878 1.878 7.094
```

---

Entry 2:
First-principles (meta-GGA SCAN) data for Ba2BeHg at its PBEsol-relaxed geometry, as listed in Alexandria via LeMat-Bulk.

Values from the calculation:
Crystal system: tetragonal
ΔH_f (0 K), eV/atom: 0.302
Symmetry: I-42d
Total magnetization, μB per cell: 0.0
ΔE to the lowest computed polymorph, meV per atom: 335

```
Ba2BeHg
1.0
8.737 0.000 0.000
0.000 8.737 0.000
0.000 0.000 7.648
Ba Be Hg
8 4 4
Cartesian
1.992 2.184 0.956
2.184 6.360 2.868
2.184 6.746 6.692
2.377 2.184 4.780
6.360 6.553 4.780
6.553 1.992 6.692
6.553 2.377 2.868
6.746 6.553 0.956
0.000 0.000 0.000
0.000 4.369 1.912
4.369 0.000 5.736
4.369 4.369 3.824
0.000 0.000 3.824
0.000 4.369 5.736
4.369 0.000 1.912
4.369 4.369 0.000
```

---

Entry 3:
First-principles (meta-GGA SCAN) data for Ba2BeI at its PBEsol-relaxed geometry, as listed in Alexandria via LeMat-Bulk.

Values from the calculation:
Crystal system: tetragonal
Symmetry: I-42d
E_form (uncorrected), eV per atom: -0.222
Total magnetization, μB per cell: 0.0

```
Ba2BeI
1.0
8.631 0.000 0.000
0.000 8.631 0.000
0.000 0.000 8.929
Ba Be I
8 4 4
Cartesian
1.864 2.158 1.116
2.158 6.179 3.348
2.158 6.767 7.812
2.452 2.158 5.580
6.179 6.473 5.580
6.473 1.864 7.812
6.473 2.452 3.348
6.767 6.473 1.116
0.000 0.000 0.000
0.000 4.316 2.232
4.316 0.000 6.696
4.316 4.316 4.464
0.000 0.000 4.464
0.000 4.316 6.696
4.316 0.000 2.232
4.316 4.316 0.000
```

---

Entry 4:
First-principles (meta-GGA SCAN) data for BaBeIN2 at its PBEsol-relaxed geometry, as listed in Alexandria via LeMat-Bulk.

Values from the calculation:
Crystal system: tetragonal
Symmetry: P4/mmm
E_form (uncorrected), eV per atom: 1.551
Total magnetization, μB per cell: 5.0

```
BaBeIN2
1.0
5.114 0.000 0.000
0.000 5.114 0.000
0.000 0.000 6.878
Ba Be I N
1 1 1 2
Cartesian
0.000 0.000 0.000
2.557 2.557 3.439
0.000 0.000 3.439
0.000 2.557 0.000
2.557 0.000 0.000
```

---

Entry 5:
First-principles (meta-GGA SCAN) data for Ba2BeOsI at its PBEsol-relaxed geometry, as listed in Alexandria via LeMat-Bulk.

Values from the calculation:
Crystal system: tetragonal
Symmetry: P4/mmm
E_form (uncorrected), eV per atom: 0.680
Total magnetization, μB per cell: 0.0

```
Ba2BeOsI
1.0
5.957 0.000 0.000
0.000 5.957 0.000
0.000 0.000 5.089
Ba Be Os I
2 1 1 1
Cartesian
0.000 2.979 0.000
2.979 0.000 0.000
0.000 0.000 2.545
2.979 2.979 0.000
2.979 2.979 2.545
```

---

Entry 6:
First-principles (meta-GGA SCAN) data for BaBeSi2I at its PBEsol-relaxed geometry, as listed in Alexandria via LeMat-Bulk.

Values from the calculation:
Crystal system: tetragonal
Symmetry: P4/mmm
E_form (uncorrected), eV per atom: 0.105
Total magnetization, μB per cell: 0.0

```
BaBeSi2I
1.0
4.526 0.000 0.000
0.000 4.526 0.000
0.000 0.000 6.439
Ba Be Si I
1 1 2 1
Cartesian
0.000 0.000 0.000
0.000 0.000 3.219
0.000 2.263 3.219
2.263 0.000 3.219
2.263 2.263 0.000
```

---

Entry 7:
First-principles (meta-GGA SCAN) data for BaBeIn at its PBEsol-relaxed geometry, as listed in Alexandria via LeMat-Bulk.

Values from the calculation:
Crystal system: cubic
ΔH_f (0 K), eV/atom: 0.812
Symmetry: F-43m
Total magnetization, μB per cell: 0.0

```
BaBeIn
1.0
7.447 0.000 0.000
0.000 7.447 0.000
0.000 0.000 7.447
Ba Be In
4 4 4
Cartesian
0.000 0.000 0.000
0.000 3.723 3.723
3.723 0.000 3.723
3.723 3.723 0.000
1.862 1.862 1.862
1.862 5.585 5.585
5.585 1.862 5.585
5.585 5.585 1.862
1.862 1.862 5.585
1.862 5.585 1.862
5.585 1.862 1.862
5.585 5.585 5.585
```

---

Entry 8:
First-principles (meta-GGA SCAN) data for BaBeIn4 at its PBEsol-relaxed geometry, as listed in Alexandria via LeMat-Bulk.

Values from the calculation:
Crystal system: cubic
ΔH_f (0 K), eV/atom: 0.180
Symmetry: F-43m
Total magnetization, μB per cell: 0.0

```
BaBeIn4
1.0
0.000 4.350 4.350
4.350 0.000 4.350
4.350 4.350 0.000
Ba Be In
1 1 4
Cartesian
0.000 0.000 0.000
2.175 2.175 2.175
5.433 3.268 3.268
3.268 5.433 3.268
3.268 3.268 5.433
5.433 5.433 5.433
```

---

Entry 9:
First-principles (meta-GGA SCAN) data for BaBeIn2 at its PBEsol-relaxed geometry, as listed in Alexandria via LeMat-Bulk.

Values from the calculation:
Crystal system: trigonal
ΔH_f (0 K), eV/atom: -0.197
Symmetry: R-3m
Total magnetization, μB per cell: 0.0

```
BaBeIn2
1.0
4.403 0.000 0.000
-2.201 3.813 0.000
0.000 0.000 19.383
Ba Be In
3 3 6
Cartesian
0.000 0.000 0.000
0.000 2.542 12.922
2.201 1.271 6.461
0.000 0.000 9.691
0.000 2.542 3.230
2.201 1.271 16.152
0.000 0.000 4.062
0.000 0.000 15.320
0.000 2.542 8.860
0.000 2.542 16.984
2.201 1.271 2.399
2.201 1.271 10.523
```

---

Entry 10:
First-principles (meta-GGA SCAN) data for BaBeIr2 at its PBEsol-relaxed geometry, as listed in Alexandria via LeMat-Bulk.

Values from the calculation:
Crystal system: tetragonal
ΔH_f (0 K), eV/atom: 0.239
Symmetry: P4/mmm
Total magnetization, μB per cell: 0.8

```
BaBeIr2
1.0
2.972 0.000 0.000
0.000 2.972 0.000
0.000 0.000 7.644
Ba Be Ir
1 1 2
Cartesian
0.000 0.000 0.000
0.000 0.000 3.822
1.486 1.486 2.526
1.486 1.486 5.118
```

---

Entry 11:
First-principles (meta-GGA SCAN) data for BaBe2Ir at its PBEsol-relaxed geometry, as listed in Alexandria via LeMat-Bulk.

Values from the calculation:
Crystal system: tetragonal
ΔH_f (0 K), eV/atom: -0.083
Symmetry: I4_1/amd
Total magnetization, μB per cell: 0.0
ΔE to the lowest computed polymorph, meV per atom: 0

```
BaBe2Ir
1.0
4.748 0.000 0.000
0.000 4.748 0.000
0.000 0.000 14.855
Ba Be Ir
4 8 4
Cartesian
0.000 1.187 5.571
0.000 3.561 9.284
2.374 1.187 1.857
2.374 3.561 12.998
0.000 0.000 0.000
0.000 2.374 0.000
1.187 1.187 11.141
1.187 3.561 3.714
2.374 0.000 7.427
2.374 2.374 7.427
3.561 1.187 11.141
3.561 3.561 3.714
0.000 1.187 12.998
0.000 3.561 1.857
2.374 1.187 9.284
2.374 3.561 5.571
```

---

Entry 12:
First-principles (meta-GGA SCAN) data for Ba2BeIr at its PBEsol-relaxed geometry, as listed in Alexandria via LeMat-Bulk.

Values from the calculation:
Crystal system: orthorhombic
ΔH_f (0 K), eV/atom: 0.111
Symmetry: Pmm2
Total magnetization, μB per cell: 0.0

```
Ba2BeIr
1.0
3.246 0.000 0.000
0.000 3.462 0.000
0.000 0.000 9.309
Ba Be Ir
2 1 1
Cartesian
0.000 0.000 0.000
1.623 1.731 3.946
1.623 1.731 6.868
0.000 0.000 6.454
```